Entry from Alexandria: a geometry-optimized LiCu3Rh structure (GGA-PBE).

Cell: 7.229 5.315 7.193 Å, 90.00 90.00 90.00°
Fractional positions:
Li: 0.000 0.000 0.000
Li: 0.000 0.500 0.000
Li: 0.500 0.000 0.500
Li: 0.500 0.500 0.500
Cu: 0.131 0.008 0.375
Cu: 0.131 0.492 0.375
Cu: 0.167 0.750 0.666
Cu: 0.333 0.250 0.166
Cu: 0.369 0.508 0.875
Cu: 0.369 0.992 0.875
Cu: 0.631 0.008 0.125
Cu: 0.631 0.492 0.125
Cu: 0.667 0.750 0.834
Cu: 0.833 0.250 0.334
Cu: 0.869 0.508 0.625
Cu: 0.869 0.992 0.625
Rh: 0.161 0.250 0.677
Rh: 0.339 0.750 0.177
Rh: 0.661 0.250 0.823
Rh: 0.839 0.750 0.323

Summary:
D(E_F)	0.78	states/eV per atom
DFT formation energy	0.04	eV/atom